[1]
The following is a DFT calculation (GGA-PBE) of a relaxed structure of Sm2InPd5.

Computed properties:
Volume, Å³ per atom: 19.6
Crystal system: tetragonal
Total energy, eV per atom: -5.4754
DFT formation energy, eV/atom: -0.71
D(E_F), states/eV per cell: 3.30

a b c (Å): 6.449 6.449 5.915
angles (deg): 123.03 123.03 90.00
Positions (direct):
Pd  0.260  0.698  0.957
Pd  0.698  0.260  0.957
Pd  0.754  0.754  0.508
Pd  0.698  0.698  0.957
Pd  0.260  0.260  0.957
Sm  0.239  0.739  0.478
Sm  0.739  0.239  0.478
In  0.130  0.130  0.260

=====

[2]
The following is a DFT calculation (GGA-PBE) of a relaxed structure of Sm6InPd2.

Computed properties:
Volume, Å³ per atom: 28.6
Crystal system: orthorhombic
Total energy, eV per atom: -5.0931
DFT formation energy, eV/atom: -0.49
D(E_F), states/eV per cell: 17.91

a b c (Å): 8.767 8.767 8.767
angles (deg): 104.72 110.10 113.71
Positions (direct):
In  0.000  0.000  0.000
In  0.000  0.500  0.500
Sm  0.893  0.710  0.183
Sm  0.698  0.372  0.675
Sm  0.197  0.237  0.434
Sm  0.803  0.763  0.566
Sm  0.473  0.290  0.183
Sm  0.197  0.763  0.960
Sm  0.107  0.290  0.817
Sm  0.527  0.710  0.817
Sm  0.302  0.628  0.325
Sm  0.302  0.977  0.675
Sm  0.803  0.237  0.040
Sm  0.698  0.023  0.325
Pd  0.500  0.370  0.870
Pd  0.500  0.630  0.130
Pd  0.653  0.000  0.653
Pd  0.347  0.000  0.347

=====

[3]
The following is a DFT calculation (GGA-PBE) of a relaxed structure of Sm4InPd.

Computed properties:
Volume, Å³ per atom: 28.9
Crystal system: cubic
Total energy, eV per atom: -4.9387
DFT formation energy, eV/atom: -0.47
Polymorph energy (0 for the lowest one), meV/atom: 0
D(E_F), states/eV per cell: 25.00

a b c (Å): 9.935 9.935 9.935
angles (deg): 60.00 60.00 60.00
Positions (direct):
Sm  0.398  0.807  0.398
Sm  0.558  0.942  0.942
Sm  0.942  0.558  0.942
Sm  0.807  0.398  0.398
Sm  0.186  0.814  0.186
Sm  0.942  0.558  0.558
Sm  0.814  0.186  0.186
Sm  0.558  0.558  0.942
Sm  0.558  0.942  0.558
Sm  0.186  0.186  0.814
Sm  0.942  0.942  0.558
Sm  0.186  0.814  0.814
Sm  0.814  0.814  0.186
Sm  0.398  0.398  0.807
Sm  0.814  0.186  0.814
Sm  0.398  0.398  0.398
Pd  0.606  0.182  0.606
Pd  0.606  0.606  0.182
Pd  0.606  0.606  0.606
Pd  0.182  0.606  0.606
In  0.496  0.168  0.168
In  0.168  0.496  0.168
In  0.168  0.168  0.168
In  0.168  0.168  0.496

=====

[4]
The following is a DFT calculation (GGA-PBE) of a relaxed structure of Sm12InPd6.

Computed properties:
Volume, Å³ per atom: 27.9
Crystal system: cubic
Total energy, eV per atom: -5.3324
DFT formation energy, eV/atom: -0.57
Polymorph energy (0 for the lowest one), meV/atom: 0
D(E_F), states/eV per cell: 14.70

a b c (Å): 8.828 8.828 8.828
angles (deg): 109.47 109.47 109.47
Positions (direct):
Sm  0.184  0.299  0.482
Sm  0.518  0.816  0.701
Sm  0.701  0.518  0.816
Sm  0.299  0.115  0.816
Sm  0.816  0.701  0.518
Sm  0.816  0.299  0.115
Sm  0.299  0.482  0.184
Sm  0.482  0.184  0.299
Sm  0.184  0.701  0.885
Sm  0.885  0.184  0.701
Sm  0.115  0.816  0.299
Sm  0.701  0.885  0.184
Pd  0.866  0.366  0.500
Pd  0.634  0.500  0.134
Pd  0.500  0.866  0.366
Pd  0.134  0.634  0.500
Pd  0.500  0.134  0.634
Pd  0.366  0.500  0.866
In  0.000  0.000  0.000

=====

[5]
The following is a DFT calculation (GGA-PBE) of a relaxed structure of Sm2InPd.

Computed properties:
Volume, Å³ per atom: 25.8
Crystal system: cubic
Total energy, eV per atom: -4.8928
DFT formation energy, eV/atom: -0.55
Polymorph energy (0 for the lowest one), meV/atom: 87
D(E_F), states/eV per cell: 3.83

a b c (Å): 5.268 5.268 5.268
angles (deg): 60.00 60.00 60.00
Positions (direct):
Sm  0.250  0.250  0.250
Sm  0.750  0.750  0.750
In  0.000  0.000  0.000
Pd  0.500  0.500  0.500

=====

[6]
The following is a DFT calculation (GGA-PBE) of a relaxed structure of SmIn6Pd4.

Computed properties:
Volume, Å³ per atom: 21.2
Crystal system: hexagonal
Total energy, eV per atom: -4.3140
DFT formation energy, eV/atom: -0.50
D(E_F), states/eV per cell: 6.23

a b c (Å): 4.290 7.921 7.921
angles (deg): 120.00 90.00 90.00
Positions (direct):
Pd  0.500  0.797  0.594
Pd  0.500  0.406  0.203
Pd  0.500  0.797  0.203
Pd  0.000  0.333  0.667
In  0.000  0.534  0.466
In  0.000  0.534  0.069
In  0.500  0.193  0.387
In  0.000  0.931  0.466
In  0.500  0.613  0.807
In  0.500  0.193  0.807
Sm  0.000  0.000  0.000

=====

> Which of these has the lowest total energy?

Sm2InPd5

=====

> The lowest volume belongs to which entry?

Sm2InPd5

=====

> What is the formula in the first record?

Sm2InPd5